Arrangement A

# Dy2Mo3O12

A PBEsol-optimized structure of Dy2Mo3O12 (meta-GGA SCAN, Alexandria via LeMat-Bulk).

Cell: 7.5182 11.2372 11.2355 Å, 90.00 109.38 90.00°
Last column: nearest neighbours and their distance in Å.
Space group C2/c (No. 15)
Symmetry-distinct sites (fractional):
Dy 0.1670 0.1228 0.0909 x8  8 O 2.29-2.40
Mo 0.0000 0.1300 0.7500 x4  4 O 1.74-1.80
Mo 0.1469 0.3907 0.5543 x8  4 O 1.73-1.85
O 0.0515 0.2820 0.4421 x8  1 Mo 1.73
O 0.0600 0.4620 0.9203 x8  1 Mo 1.85
O 0.1296 0.2084 0.8922 x8  1 Mo 1.80
O 0.1339 0.0479 0.4592 x8  1 Mo 1.84
O 0.1694 0.0402 0.7199 x8  1 Mo 1.74
O 0.2288 0.3179 0.7022 x8  1 Mo 1.77

Output
Crystal system: monoclinic



Arrangement B

# Dy2Mo3O12

A PBEsol-optimized structure of Dy2Mo3O12 (meta-GGA SCAN, Alexandria via LeMat-Bulk).

Cell: 7.3207 7.3207 10.5396 Å, 90.00 90.00 90.00°
Last column: nearest neighbours and their distance in Å.
Space group P-42_1m (No. 113)
Symmetry-distinct sites (fractional):
Dy 0.1858 0.3142 0.2623 x4  7 O 2.22-2.37
Mo 0.0000 0.0000 0.0000 x2  4 O 1.76
Mo 0.2067 0.2933 0.6443 x4  4 O 1.75-1.80
O 0.0060 0.7747 0.7036 x8  1 Mo 1.75
O 0.0429 0.1906 0.0971 x8  1 Mo 1.76
O 0.1259 0.6259 0.3086 x4  1 Mo 1.80
O 0.1948 0.3051 0.4788 x4  1 Mo 1.75

Output
Crystal system: tetragonal



Relative stability in kJ/mol of atoms, measured from the most stable structure: arrangement A 0.0; arrangement B 0.9